VASP calculation (PBE) on crystalline Mg4Zn2Ag2Pd at its relaxed geometry.

extended XYZ file:
```
9
Lattice="5.259 0.000 0.000 -2.269 5.473 0.000 -0.329 -1.893 5.799" Properties=species:S:1:pos:R:3 pbc="T T T"
Mg 0.268 1.013 1.042
Mg 1.196 -0.427 3.769
Mg 1.465 4.008 2.030
Mg 2.393 2.568 4.757
Zn -0.176 2.224 3.576
Zn 2.837 1.357 2.223
Ag -1.177 3.510 1.260
Ag 3.839 0.070 4.539
Pd 2.629 0.000 0.000
```

SG: P-1 (2)
ΔH_f (0 K): -0.226 eV per atom
DOS(E_F): 0.25 states/eV per atom
Total magnetization: 0.000 Bohr magnetons per cell